No. 1
A plane-wave DFT calculation with GGA-PBE was carried out for an optimized crystal structure of ZrIn3Au.

Output
**Energy relative to the lowest polymorph listed for this composition**: 133 kJ/mol of formula units
**Energy relative to the elements**: 796 meV/atom
**Calculated volume**: 35.22 Å³/atom
**Spin magnetization**: 0.0 μB/cell
**Calculated total energy**: -3.21 eV per atom

The structure in POSCAR format:
```
ZrIn3Au
1.0
-4.5462 3.1847 0.7790
-2.7874 -3.0533 -3.7849
-1.7261 -3.4573 4.0602
In Zr Au
3 1 1
Cartesian
-2.2731 1.5924 0.3895
-1.3937 -1.5266 -1.8924
-0.8631 -1.7286 2.0301
0.0000 0.0000 0.0000
-4.5299 -1.6629 0.5272
```



No. 2
A plane-wave DFT calculation with GGA-PBE was carried out for an optimized crystal structure of KTaCu2Ge.

Output
**Energy relative to the elements**: 2298 meV/atom
**Calculated volume**: 22.77 Å³/atom
**Spin magnetization**: 1.6 μB/cell
**Calculated total energy**: -2.85 eV per atom

The structure in POSCAR format:
```
KTaCu2Ge
1.0
4.5655 0.0000 0.0000
0.0000 5.4610 0.0000
0.0000 0.0000 4.5655
Cu Ge Ta K
2 1 1 1
Cartesian
0.0000 0.0000 2.2828
2.2828 0.0000 0.0000
2.2828 2.7305 2.2828
0.0000 2.7305 0.0000
0.0000 0.0000 0.0000
```